VASP calculation (PBE) on LaCdHg2 after structural relaxation.

Summary:
- energy of formation from the pure elements (eV per atom) = -0.3651
- calculated total energy (eV/atom) = -1.977

Cell: 5.2505 5.2750 7.4478 Å, 90.00 90.00 90.00°
With the nearest neighbours (Å) after each atom.
Space group Imm2 (No. 44)
Symmetry-distinct sites (fractional):
La1 0.0000 0.0000 0.0000 x2  4 Hg 3.22-3.23, 4 Cd 3.22
Cd1 0.0000 0.5000 0.2491 x2  4 Hg 3.21-3.23, 4 La 3.22
Hg1 0.0000 0.0000 0.5000 x2  4 Cd 3.21-3.23, 4 Hg 3.22-3.23
Hg2 0.0000 0.5000 0.7505 x2  4 Hg 3.22-3.23, 4 La 3.22-3.23

VASP calculation (PBE) on La2Cd3Hg3 after structural relaxation.

Summary:
- energy of formation from the pure elements (eV per atom) = -0.4279
- calculated total energy (eV/atom) = -2.116

Cell: 5.2619 5.2619 25.7315 Å, 90.00 90.00 120.00°
With the nearest neighbours (Å) after each atom.
Space group R3m (No. 160, hexagonal axes)
Symmetry-distinct sites (fractional):
La1 0.0000 0.0000 0.0000 x3  7 Hg 3.20-3.24, 1 Cd 3.24
La2 0.0000 0.0000 0.4969 x3  5 Hg 3.20-3.23, 3 Cd 3.24
Cd1 0.0000 0.0000 0.2475 x3  5 Hg 3.15-3.22, 3 Cd 3.21
Cd2 0.0000 0.0000 0.7496 x3  1 Cd 3.20, 7 Hg 3.23-3.27
Cd3 0.0000 0.0000 0.8740 x3  4 Cd 3.20-3.21, 4 La 3.24
Hg1 0.0000 0.0000 0.1251 x3  4 Cd 3.15-3.23, 4 La 3.20-3.22
Hg2 0.0000 0.0000 0.3722 x3  4 La 3.20-3.21, 4 Cd 3.21-3.24
Hg3 0.0000 0.0000 0.6225 x3  4 Cd 3.22-3.27, 4 La 3.23-3.24

VASP calculation (PBE) on La2Cd5Hg4 after structural relaxation.

Summary:
- energy of formation from the pure elements (eV per atom) = -0.2493
- calculated total energy (eV/atom) = -1.671

Cell: 5.9504 9.3798 10.2211 Å, 90.00 90.00 90.00°
With the nearest neighbours (Å) after each atom.
Space group Immm (No. 71)
Symmetry-distinct sites (fractional):
La1 0.0000 0.0000 0.2063 x4  6 Hg 3.21-3.37
Cd1 0.0000 0.5000 0.5000 x2  4 Hg 2.99, 4 Cd 3.17
Cd2 0.2444 0.1996 0.5000 x8  3 Cd 2.91-3.17, 4 Hg 2.98-3.23
Hg1 0.0000 0.3389 0.2480 x8  5 Cd 2.98-3.23, 1 Hg 3.02, 1 La 3.21

VASP calculation (PBE) on La2CdHg2 after structural relaxation.

Summary:
- energy of formation from the pure elements (eV per atom) = -0.4249
- calculated total energy (eV/atom) = -2.700

Cell: 8.4373 8.4373 4.1580 Å, 90.00 90.00 90.00°
With the nearest neighbours (Å) after each atom.
Space group P4/mbm (No. 127)
Symmetry-distinct sites (fractional):
La1 0.1716 0.3284 0.0000 x4  6 Hg 3.16-3.30
Cd1 0.0000 0.0000 0.5000 x2  4 Hg 3.31
Hg1 0.1292 0.6292 0.5000 x4  1 Hg 3.08, 6 La 3.16-3.30, 2 Cd 3.31

VASP calculation (PBE) on La3CdHg after structural relaxation.

Summary:
- energy of formation from the pure elements (eV per atom) = -0.3240
- calculated total energy (eV/atom) = -3.524

Cell: 5.5633 20.3244 5.5598 Å, 90.00 90.00 90.00°
With the nearest neighbours (Å) after each atom.
Space group Cmcm (No. 63)
Symmetry-distinct sites (fractional):
La1 0.0000 0.0596 0.2500 x4  2 Hg 3.34, 2 Cd 3.34, 4 La 3.69-3.71
La2 0.0000 0.2497 0.2500 x4  4 Cd 3.43-3.44, 4 Hg 3.43-3.44
La3 0.0000 0.4389 0.2500 x4  2 Hg 3.32, 2 Cd 3.33, 2 La 3.71
Cd1 0.0000 0.1511 0.7500 x4  8 La 3.33-3.44
Hg1 0.0000 0.3494 0.7500 x4  8 La 3.32-3.44

VASP calculation (PBE) on La8CdHg2 after structural relaxation.

Summary:
- energy of formation from the pure elements (eV per atom) = -0.1812
- calculated total energy (eV/atom) = -3.903

Cell: 5.2439 8.9502 15.3477 Å, 90.00 90.00 90.00°
With the nearest neighbours (Å) after each atom.
Space group Immm (No. 71)
Symmetry-distinct sites (fractional):
La1 0.0000 0.0000 0.1407 x4  2 Cd 3.40, 2 Hg 3.59, 8 La 3.62-3.70
La2 0.0000 0.2215 0.3441 x8  3 Hg 3.34-3.35, 1 Cd 3.45, 5 La 3.58-3.70
La3 0.0000 0.3315 0.0000 x4  1 La 3.02
Cd1 0.0000 0.5000 0.5000 x2  8 La 3.40-3.45
Hg1 0.0000 0.5000 0.1993 x4  10 La 3.34-3.59